A plane-wave DFT calculation with PBE was carried out for an optimized crystal structure of YTi2InN.

Structure (extended XYZ):
```
5
Lattice="5.175 0.000 0.000 0.000 5.175 0.000 0.000 0.000 4.284" Properties=species:S:1:pos:R:3 pbc="T T T"
Y 0.000 0.000 0.000
Ti 0.000 2.588 0.000
Ti 2.588 0.000 0.000
In 2.588 2.588 2.142
N 0.000 0.000 2.142
```

- Formation energy without anion corrections: 1292 meV/atom
- Space group: No. 123
- DOS at the Fermi energy: 1.44 states/eV per atom
- Density: 4536 kg/m³
- M_tot: 0.000 μB/f.u.